Record 1
## TaCdTeN2 (GGA-PBE)

Data for crystalline TaCdTeN2 at its relaxed geometry.

Summary:
Energy relative to the elements, uncorrected: 0.150 eV per atom
Distance to the lowest polymorph of the same formula: 0.0 meV/atom

```
data_TaCdTeN2
_chemical_formula_sum 'Ta1 Cd1 Te1 N2'
_cell_length_a 4.074
_cell_length_b 4.074
_cell_length_c 5.900
_cell_angle_alpha 90.00
_cell_angle_beta 90.00
_cell_angle_gamma 90.00
_space_group_name_H-M_alt 'P 1'
_space_group_IT_number 1
loop_
_space_group_symop_operation_xyz
'x,y,z'
loop_
_atom_site_label
_atom_site_type_symbol
_atom_site_fract_x
_atom_site_fract_y
_atom_site_fract_z
Ta1 Ta 0.000 0.000 0.000
Cd1 Cd 0.500 0.500 0.500
Te1 Te 0.000 0.000 0.500
N1 N 0.000 0.500 0.000
N2 N 0.500 0.000 0.000
```

***

Record 2
## K2MgCO4 (GGA-PBE)

Data for crystalline K2MgCO4 at its relaxed geometry.

Summary:
Energy relative to the elements, uncorrected: -1.617 eV per atom

```
data_K2MgCO4
_chemical_formula_sum 'K4 Mg2 C2 O8'
_cell_length_a 11.653
_cell_length_b 10.555
_cell_length_c 5.951
_cell_angle_alpha 84.97
_cell_angle_beta 64.46
_cell_angle_gamma 30.58
_space_group_name_H-M_alt 'P 1'
_space_group_IT_number 1
loop_
_space_group_symop_operation_xyz
'x,y,z'
loop_
_atom_site_label
_atom_site_type_symbol
_atom_site_fract_x
_atom_site_fract_y
_atom_site_fract_z
K1 K 0.052 0.052 0.698
K2 K 0.302 0.302 0.948
K3 K 0.698 0.698 0.052
K4 K 0.948 0.948 0.302
Mg1 Mg 0.125 0.125 0.125
Mg2 Mg 0.875 0.875 0.875
C1 C 0.375 0.375 0.375
C2 C 0.625 0.625 0.625
O1 O 0.082 0.588 0.514
O2 O 0.315 0.514 0.588
O3 O 0.412 0.918 0.685
O4 O 0.486 0.685 0.918
O5 O 0.514 0.315 0.082
O6 O 0.588 0.082 0.315
O7 O 0.685 0.486 0.412
O8 O 0.918 0.412 0.486
```

***

Record 3
## BaNaNdF6 (GGA-PBE)

Data for crystalline BaNaNdF6 at its relaxed geometry.

Summary:
Energy relative to the elements, uncorrected: -3.662 eV per atom

```
data_BaNaNdF6
_chemical_formula_sum 'Ba2 Na2 Nd2 F12'
_cell_length_a 6.096
_cell_length_b 6.096
_cell_length_c 11.100
_cell_angle_alpha 90.00
_cell_angle_beta 90.00
_cell_angle_gamma 120.00
_space_group_name_H-M_alt 'P 1'
_space_group_IT_number 1
loop_
_space_group_symop_operation_xyz
'x,y,z'
loop_
_atom_site_label
_atom_site_type_symbol
_atom_site_fract_x
_atom_site_fract_y
_atom_site_fract_z
Ba1 Ba 0.000 0.000 0.000
Ba2 Ba 0.000 0.000 0.500
Na1 Na 0.333 0.667 0.250
Na2 Na 0.667 0.333 0.750
Nd1 Nd 0.333 0.667 0.750
Nd2 Nd 0.667 0.333 0.250
F1 F 0.008 0.356 0.640
F2 F 0.008 0.652 0.860
F3 F 0.348 0.356 0.860
F4 F 0.348 0.992 0.640
F5 F 0.356 0.008 0.140
F6 F 0.356 0.348 0.360
F7 F 0.644 0.652 0.640
F8 F 0.644 0.992 0.860
F9 F 0.652 0.008 0.360
F10 F 0.652 0.644 0.140
F11 F 0.992 0.348 0.140
F12 F 0.992 0.644 0.360
```

***

Record 4
## Th2NiPt (GGA-PBE)

Data for crystalline Th2NiPt at its relaxed geometry.

Summary:
E_form: -0.63 eV per atom

```
data_Th2NiPt
_chemical_formula_sum 'Th2 Ni1 Pt1'
_cell_length_a 3.575
_cell_length_b 3.575
_cell_length_c 7.100
_cell_angle_alpha 90.00
_cell_angle_beta 90.00
_cell_angle_gamma 90.00
_space_group_name_H-M_alt 'P 1'
_space_group_IT_number 1
loop_
_space_group_symop_operation_xyz
'x,y,z'
loop_
_atom_site_label
_atom_site_type_symbol
_atom_site_fract_x
_atom_site_fract_y
_atom_site_fract_z
Th1 Th 0.000 0.000 0.240
Th2 Th 0.000 0.000 0.760
Ni1 Ni 0.500 0.500 0.000
Pt1 Pt 0.500 0.500 0.500
```